*A*
# Re2Tc3

An optimized crystal structure of Re2Tc3 (GGA-PBE, the Alexandria database).

```
data_Re2Tc3
_symmetry_space_group_name_H-M 'R -3 m'
_symmetry_Int_Tables_number 166
_symmetry_space_group_name_Hall '-R 3 2"'
_cell_length_a 2.7540
_cell_length_b 2.7540
_cell_length_c 33.7945
_cell_angle_alpha 90.00
_cell_angle_beta 90.00
_cell_angle_gamma 120.00
loop_
_atom_site_label
_atom_site_type_symbol
_atom_site_fract_x
_atom_site_fract_y
_atom_site_fract_z
Re1 Re 0.0000 0.0000 0.0998
Tc1 Tc 0.0000 0.0000 0.3001
Tc2 Tc 0.0000 0.0000 0.5000
```

Output
DOS at the Fermi energy	1.090	states/eV/atom

***

*B*
# Re2Tc3

An optimized crystal structure of Re2Tc3 (GGA-PBE, the Alexandria database).

```
data_Re2Tc3
_symmetry_space_group_name_H-M 'P -3 m 1'
_symmetry_Int_Tables_number 164
_symmetry_space_group_name_Hall '-P 3 2"'
_cell_length_a 4.2472
_cell_length_b 4.2472
_cell_length_c 5.2858
_cell_angle_alpha 90.00
_cell_angle_beta 90.00
_cell_angle_gamma 120.00
loop_
_atom_site_label
_atom_site_type_symbol
_atom_site_fract_x
_atom_site_fract_y
_atom_site_fract_z
Re1 Re 0.3333 0.6667 0.3192
Tc1 Tc 0.0000 0.0000 0.5000
Tc2 Tc 0.3333 0.6667 0.8476
```

Output
DOS at the Fermi energy	1.094	states/eV/atom

***

Last place for stability: *B*

***

*A*
# Re2Tc3

An optimized crystal structure of Re2Tc3 (GGA-PBE, the Alexandria database).

```
data_Re2Tc3
_symmetry_space_group_name_H-M 'F d d 2'
_symmetry_Int_Tables_number 43
_symmetry_space_group_name_Hall 'F 2 -2d'
_cell_length_a 11.626
_cell_length_b 19.128
_cell_length_c 2.804
_cell_angle_alpha 90.00
_cell_angle_beta 90.00
_cell_angle_gamma 90.00
loop_
_atom_site_label
_atom_site_type_symbol
_atom_site_fract_x
_atom_site_fract_y
_atom_site_fract_z
Re1 Re 0.069 0.208 0.000
Tc1 Tc 0.000 0.000 0.183
Tc2 Tc 0.119 0.345 0.844
```

Output
DOS at the Fermi energy	0.805	states/eV/atom

***

*B*
# Re2Tc3

An optimized crystal structure of Re2Tc3 (GGA-PBE, the Alexandria database).

```
data_Re2Tc3
_symmetry_space_group_name_H-M 'P n m a'
_symmetry_Int_Tables_number 62
_cell_length_a 12.159
_cell_length_b 2.751
_cell_length_c 9.044
_cell_angle_alpha 90.00
_cell_angle_beta 90.00
_cell_angle_gamma 90.00
loop_
_symmetry_equiv_pos_as_xyz
'x,y,z'
'-x,-y,-z'
'-x+1/2,-y,z+1/2'
'x+1/2,y,-z+1/2'
'x+1/2,-y+1/2,-z+1/2'
'-x+1/2,y+1/2,z+1/2'
'-x,y+1/2,-z'
'x,-y+1/2,z'
loop_
_atom_site_label
_atom_site_type_symbol
_atom_site_fract_x
_atom_site_fract_y
_atom_site_fract_z
Re1 Re 0.049 0.250 0.124
Re2 Re 0.162 0.250 0.390
Tc1 Tc 0.029 0.250 0.625
Tc2 Tc 0.152 0.250 0.865
Tc3 Tc 0.232 0.750 0.627
```

Output
DOS at the Fermi energy	1.184	states/eV/atom

***

Last place for stability: *A*

***

*A*
# Re3Tc5

An optimized crystal structure of Re3Tc5 (GGA-PBE, the Alexandria database).

```
data_Re3Tc5
_symmetry_space_group_name_H-M 'P 63/m c m'
_symmetry_Int_Tables_number 193
_symmetry_space_group_name_Hall '-P 6c 2'
_cell_length_a 7.6157
_cell_length_b 7.6157
_cell_length_c 4.8974
_cell_angle_alpha 90.00
_cell_angle_beta 90.00
_cell_angle_gamma 120.00
loop_
_atom_site_label
_atom_site_type_symbol
_atom_site_fract_x
_atom_site_fract_y
_atom_site_fract_z
Re1 Re 0.0000 0.4172 0.2500
Tc1 Tc 0.0000 0.2100 0.7500
Tc2 Tc 0.3333 0.6667 0.0000
```

Output
DOS at the Fermi energy	1.027	states/eV/atom

***

*B*
# Re3Tc5

An optimized crystal structure of Re3Tc5 (GGA-PBE, the Alexandria database).

```
data_Re3Tc5
_symmetry_space_group_name_H-M 'C m m m'
_symmetry_Int_Tables_number 65
_symmetry_space_group_name_Hall '-C 2 2'
_cell_length_a 7.800
_cell_length_b 7.805
_cell_length_c 3.879
_cell_angle_alpha 90.00
_cell_angle_beta 90.00
_cell_angle_gamma 90.00
loop_
_atom_site_label
_atom_site_type_symbol
_atom_site_fract_x
_atom_site_fract_y
_atom_site_fract_z
Re1 Re 0.000 0.000 0.000
Re2 Re 0.000 0.250 0.500
Tc1 Tc 0.000 0.500 0.000
Tc2 Tc 0.250 0.000 0.500
Tc3 Tc 0.250 0.250 0.000
```

Output
DOS at the Fermi energy	1.001	states/eV/atom

***

Last place for stability: *A*

***

*A*
# Re3Tc5

An optimized crystal structure of Re3Tc5 (GGA-PBE, the Alexandria database).

```
data_Re3Tc5
_symmetry_space_group_name_H-M 'P m m 2'
_symmetry_Int_Tables_number 25
_cell_length_a 2.764
_cell_length_b 4.443
_cell_length_c 9.588
_cell_angle_alpha 90.00
_cell_angle_beta 90.00
_cell_angle_gamma 90.00
loop_
_symmetry_equiv_pos_as_xyz
'x,y,z'
'-x,-y,z'
'-x,y,z'
'x,-y,z'
loop_
_atom_site_label
_atom_site_type_symbol
_atom_site_fract_x
_atom_site_fract_y
_atom_site_fract_z
Re1 Re 0.000 0.000 0.000
Re2 Re 0.000 0.500 0.167
Re3 Re 0.500 0.000 0.252
Tc1 Tc 0.000 0.000 0.501
Tc2 Tc 0.000 0.500 0.667
Tc3 Tc 0.500 0.000 0.750
Tc4 Tc 0.500 0.500 0.419
Tc5 Tc 0.500 0.500 0.917
```

Output
DOS at the Fermi energy	1.071	states/eV/atom

***

*B*
# Re3Tc5

An optimized crystal structure of Re3Tc5 (GGA-PBE, the Alexandria database).

```
data_Re3Tc5
_symmetry_space_group_name_H-M 'P 1'
_symmetry_Int_Tables_number 1
_cell_length_a 4.921
_cell_length_b 6.866
_cell_length_c 7.587
_cell_angle_alpha 84.75
_cell_angle_beta 78.90
_cell_angle_gamma 74.78
loop_
_symmetry_equiv_pos_as_xyz
'x,y,z'
loop_
_atom_site_label
_atom_site_type_symbol
_atom_site_fract_x
_atom_site_fract_y
_atom_site_fract_z
Re1 Re 0.000 0.000 0.000
Re2 Re 0.071 0.601 0.875
Re3 Re 0.303 0.597 0.147
Re4 Re 0.443 0.148 0.046
Re5 Re 0.556 0.957 0.498
Re6 Re 0.783 0.257 0.506
Tc1 Tc 0.015 0.943 0.676
Tc2 Tc 0.133 0.945 0.315
Tc3 Tc 0.251 0.247 0.735
Tc4 Tc 0.313 0.291 0.357
Tc5 Tc 0.407 0.605 0.531
Tc6 Tc 0.529 0.805 0.839
Tc7 Tc 0.685 0.396 0.830
Tc8 Tc 0.703 0.769 0.193
Tc9 Tc 0.857 0.351 0.158
Tc10 Tc 0.921 0.609 0.518
```

Output
DOS at the Fermi energy	0.808	states/eV/atom

***

Last place for stability: *B*

***

*A*
# Re5Tc3

An optimized crystal structure of Re5Tc3 (GGA-PBE, the Alexandria database).

```
data_Re5Tc3
_symmetry_space_group_name_H-M 'P 63/m c m'
_symmetry_Int_Tables_number 193
_symmetry_space_group_name_Hall '-P 6c 2'
_cell_length_a 7.6148
_cell_length_b 7.6148
_cell_length_c 4.9248
_cell_angle_alpha 90.00
_cell_angle_beta 90.00
_cell_angle_gamma 120.00
loop_
_atom_site_label
_atom_site_type_symbol
_atom_site_fract_x
_atom_site_fract_y
_atom_site_fract_z
Re1 Re 0.0000 0.2038 0.2500
Re2 Re 0.3333 0.6667 0.0000
Tc1 Tc 0.0000 0.4191 0.7500
```

Output
DOS at the Fermi energy	0.925	states/eV/atom

***

*B*
# Re5Tc3

An optimized crystal structure of Re5Tc3 (GGA-PBE, the Alexandria database).

```
data_Re5Tc3
_symmetry_space_group_name_H-M 'P m m 2'
_symmetry_Int_Tables_number 25
_cell_length_a 2.771
_cell_length_b 4.462
_cell_length_c 9.590
_cell_angle_alpha 90.00
_cell_angle_beta 90.00
_cell_angle_gamma 90.00
loop_
_symmetry_equiv_pos_as_xyz
'x,y,z'
'-x,-y,z'
'-x,y,z'
'x,-y,z'
loop_
_atom_site_label
_atom_site_type_symbol
_atom_site_fract_x
_atom_site_fract_y
_atom_site_fract_z
Re1 Re 0.000 0.000 0.000
Re2 Re 0.000 0.000 0.498
Re3 Re 0.000 0.500 0.833
Re4 Re 0.500 0.000 0.749
Re5 Re 0.500 0.500 0.581
Tc1 Tc 0.000 0.500 0.331
Tc2 Tc 0.500 0.000 0.249
Tc3 Tc 0.500 0.500 0.083
```

Output
DOS at the Fermi energy	1.019	states/eV/atom

***

*C*
# Re5Tc3

An optimized crystal structure of Re5Tc3 (GGA-PBE, the Alexandria database).

```
data_Re5Tc3
_symmetry_space_group_name_H-M 'C m m m'
_symmetry_Int_Tables_number 65
_symmetry_space_group_name_Hall '-C 2 2'
_cell_length_a 7.810
_cell_length_b 7.816
_cell_length_c 3.895
_cell_angle_alpha 90.00
_cell_angle_beta 90.00
_cell_angle_gamma 90.00
loop_
_atom_site_label
_atom_site_type_symbol
_atom_site_fract_x
_atom_site_fract_y
_atom_site_fract_z
Re1 Re 0.000 0.000 0.000
Re2 Re 0.250 0.000 0.500
Re3 Re 0.250 0.250 0.000
Tc1 Tc 0.000 0.251 0.500
Tc2 Tc 0.000 0.500 0.000
```

Output
DOS at the Fermi energy	0.943	states/eV/atom

***

*D*
# Re5Tc3

An optimized crystal structure of Re5Tc3 (GGA-PBE, the Alexandria database).

```
data_Re5Tc3
_symmetry_space_group_name_H-M 'C 1 2/m 1'
_symmetry_Int_Tables_number 12
_cell_length_a 4.938
_cell_length_b 13.236
_cell_length_c 7.657
_cell_angle_alpha 90.00
_cell_angle_beta 103.86
_cell_angle_gamma 90.00
loop_
_symmetry_equiv_pos_as_xyz
'x,y,z'
'-x,-y,-z'
'-x,y,-z'
'x,-y,z'
'x+1/2,y+1/2,z'
'-x+1/2,-y+1/2,-z'
'-x+1/2,y+1/2,-z'
'x+1/2,-y+1/2,z'
loop_
_atom_site_label
_atom_site_type_symbol
_atom_site_fract_x
_atom_site_fract_y
_atom_site_fract_z
Re1 Re 0.077 0.170 0.195
Re2 Re 0.096 0.401 0.327
Re3 Re 0.243 0.000 0.998
Tc1 Tc 0.000 0.225 0.500
Tc2 Tc 0.000 0.326 0.000
Tc3 Tc 0.115 0.000 0.369
```

Output
DOS at the Fermi energy	0.813	states/eV/atom

***

Last place for stability: *A*

***

*A*
# ReTc4

An optimized crystal structure of ReTc4 (GGA-PBE, the Alexandria database).

```
data_ReTc4
_symmetry_space_group_name_H-M 'I m -3 m'
_symmetry_Int_Tables_number 229
_symmetry_space_group_name_Hall '-I 4 2 3'
_cell_length_a 5.699
_cell_length_b 5.699
_cell_length_c 5.699
_cell_angle_alpha 90.00
_cell_angle_beta 90.00
_cell_angle_gamma 90.00
loop_
_atom_site_label
_atom_site_type_symbol
_atom_site_fract_x
_atom_site_fract_y
_atom_site_fract_z
Re1 Re 0.000 0.000 0.000
Tc1 Tc 0.250 0.250 0.250
```

Output
DOS at the Fermi energy	1.349	states/eV/atom

***

*B*
# ReTc4

An optimized crystal structure of ReTc4 (GGA-PBE, the Alexandria database).

```
data_ReTc4
_symmetry_space_group_name_H-M 'I 4/m'
_symmetry_Int_Tables_number 87
_symmetry_space_group_name_Hall '-I 4'
_cell_length_a 6.150
_cell_length_b 6.150
_cell_length_c 3.886
_cell_angle_alpha 90.00
_cell_angle_beta 90.00
_cell_angle_gamma 90.00
loop_
_atom_site_label
_atom_site_type_symbol
_atom_site_fract_x
_atom_site_fract_y
_atom_site_fract_z
Re1 Re 0.000 0.000 0.000
Tc1 Tc 0.100 0.699 0.500
```

Output
DOS at the Fermi energy	1.089	states/eV/atom

***

*C*
# ReTc4

An optimized crystal structure of ReTc4 (GGA-PBE, the Alexandria database).

```
data_ReTc4
_symmetry_space_group_name_H-M 'P m -3 m'
_symmetry_Int_Tables_number 221
_symmetry_space_group_name_Hall '-P 4 2 3'
_cell_length_a 4.640
_cell_length_b 4.640
_cell_length_c 4.640
_cell_angle_alpha 90.00
_cell_angle_beta 90.00
_cell_angle_gamma 90.00
loop_
_atom_site_label
_atom_site_type_symbol
_atom_site_fract_x
_atom_site_fract_y
_atom_site_fract_z
Re1 Re 0.000 0.000 0.000
Tc1 Tc 0.000 0.000 0.500
Tc2 Tc 0.500 0.500 0.500
```

Output
DOS at the Fermi energy	1.019	states/eV/atom

***

Last place for stability: *C*

***

*A*
# ReTc4

An optimized crystal structure of ReTc4 (GGA-PBE, the Alexandria database).

```
data_ReTc4
_symmetry_space_group_name_H-M 'F m m m'
_symmetry_Int_Tables_number 69
_symmetry_space_group_name_Hall '-F 2 2'
_cell_length_a 4.938
_cell_length_b 7.719
_cell_length_c 8.722
_cell_angle_alpha 90.00
_cell_angle_beta 90.00
_cell_angle_gamma 90.00
loop_
_atom_site_label
_atom_site_type_symbol
_atom_site_fract_x
_atom_site_fract_y
_atom_site_fract_z
Re1 Re 0.000 0.000 0.000
Tc1 Tc 0.000 0.158 0.500
Tc2 Tc 0.250 0.250 0.250
```

Output
DOS at the Fermi energy	1.123	states/eV/atom

***

*B*
# ReTc4

An optimized crystal structure of ReTc4 (GGA-PBE, the Alexandria database).

```
data_ReTc4
_symmetry_space_group_name_H-M 'I 4/m m m'
_symmetry_Int_Tables_number 139
_symmetry_space_group_name_Hall '-I 4 2'
_cell_length_a 3.339
_cell_length_b 3.339
_cell_length_c 14.425
_cell_angle_alpha 90.00
_cell_angle_beta 90.00
_cell_angle_gamma 90.00
loop_
_atom_site_label
_atom_site_type_symbol
_atom_site_fract_x
_atom_site_fract_y
_atom_site_fract_z
Re1 Re 0.000 0.000 0.000
Tc1 Tc 0.000 0.000 0.405
Tc2 Tc 0.000 0.500 0.250
```

Output
DOS at the Fermi energy	1.026	states/eV/atom

***

Last place for stability: *A*

***

*A*
# Re4Tc3

An optimized crystal structure of Re4Tc3 (GGA-PBE, the Alexandria database).

```
data_Re4Tc3
_symmetry_space_group_name_H-M 'C 1 2/m 1'
_symmetry_Int_Tables_number 12
_cell_length_a 8.730
_cell_length_b 3.893
_cell_length_c 6.175
_cell_angle_alpha 90.00
_cell_angle_beta 98.12
_cell_angle_gamma 90.00
loop_
_symmetry_equiv_pos_as_xyz
'x,y,z'
'-x,-y,-z'
'-x,y,-z'
'x,-y,z'
'x+1/2,y+1/2,z'
'-x+1/2,-y+1/2,-z'
'-x+1/2,y+1/2,-z'
'x+1/2,-y+1/2,z'
loop_
_atom_site_label
_atom_site_type_symbol
_atom_site_fract_x
_atom_site_fract_y
_atom_site_fract_z
Re1 Re 0.073 0.000 0.216
Re2 Re 0.143 0.500 0.928
Tc1 Tc 0.000 0.500 0.500
Tc2 Tc 0.214 0.000 0.642
```

Output
DOS at the Fermi energy	0.866	states/eV/atom

***

*B*
# Re4Tc3

An optimized crystal structure of Re4Tc3 (GGA-PBE, the Alexandria database).

```
data_Re4Tc3
_symmetry_space_group_name_H-M 'I 4/m m m'
_symmetry_Int_Tables_number 139
_symmetry_space_group_name_Hall '-I 4 2'
_cell_length_a 3.176
_cell_length_b 3.176
_cell_length_c 20.877
_cell_angle_alpha 90.00
_cell_angle_beta 90.00
_cell_angle_gamma 90.00
loop_
_atom_site_label
_atom_site_type_symbol
_atom_site_fract_x
_atom_site_fract_y
_atom_site_fract_z
Re1 Re 0.000 0.000 0.076
Re2 Re 0.000 0.000 0.358
Tc1 Tc 0.000 0.000 0.218
Tc2 Tc 0.000 0.000 0.500
```

Output
DOS at the Fermi energy	1.060	states/eV/atom

***

Last place for stability: *B*